(1)
Li4CuSbO6: relaxed, PBE.

a = 5.4454 Å, b = 8.7211 Å, c = 9.9057 Å
α = 90.00°, β = 95.99°, γ = 90.00°
Last column: nearest neighbours and their distance in Å.
Space group C2/c (No. 15)
Asymmetric unit:
Li: 0.0000 0.0890 0.2500 [4 per cell]  4 O 2.05-2.18
Li: 0.2385 0.0688 0.9981 [8 per cell]  5 O 2.03-2.27
Li: 0.2500 0.2500 0.5000 [4 per cell]  4 O 2.01-2.22
Cu: 0.0000 0.4209 0.2500 [4 per cell]  4 O 1.90
Sb: 0.0000 0.2390 0.7500 [4 per cell]  6 O 1.96-2.07
O: 0.0974 0.4190 0.6364 [8 per cell]  1 Cu 1.90, 1 Sb 2.03, 1 Li 2.13
O: 0.0990 0.0934 0.6156 [8 per cell]  1 Sb 1.96, 4 Li 2.01-2.18
O: 0.1477 0.2666 0.1489 [8 per cell]  1 Cu 1.90, 1 Li 2.05, 1 Sb 2.07

Calculated values
formation energy from raw total energies: -19.060 eV per formula unit

(2)
CoRu2Au: relaxed, PBE.

a = 6.1488 Å, b = 6.1488 Å, c = 6.1488 Å
α = 90.00°, β = 90.00°, γ = 90.00°
Last column: nearest neighbours and their distance in Å.
Space group Fm-3m (No. 225)
Asymmetric unit:
Co: 0.0000 0.0000 0.0000 [4 per cell]  8 Ru 2.66
Ru: 0.2500 0.2500 0.2500 [8 per cell]  4 Co 2.66, 4 Au 2.66
Au: 0.0000 0.0000 0.5000 [4 per cell]  8 Ru 2.66

Calculated values
DFT formation energy: 0.5964 eV per atom

(3)
SiS2Cl: relaxed, PBE.

a = 3.4127 Å, b = 3.4127 Å, c = 23.1758 Å
α = 90.00°, β = 90.00°, γ = 120.00°
Last column: nearest neighbours and their distance in Å.
Space group R-3m (No. 166, hexagonal axes)
Asymmetric unit:
Si: 0.0000 0.0000 0.0000 [3 per cell]  6 S 2.37
S: 0.0000 0.0000 0.3899 [6 per cell]  3 Si 2.37, 1 Cl 2.55
Cl: 0.0000 0.0000 0.5000 [3 per cell]  2 S 2.55

Calculated values
formation energy from raw total energies: -0.464 eV per formula unit

(4)
BaSr2CdAu: relaxed, PBE.

a = 6.0778 Å, b = 6.0778 Å, c = 6.3038 Å
α = 90.00°, β = 90.00°, γ = 90.00°
Last column: nearest neighbours and their distance in Å.
Space group P4/mmm (No. 123)
Asymmetric unit:
Ba: 0.0000 0.0000 0.0000 [1 per cell]  2 Au 3.15
Sr: 0.0000 0.5000 0.5000 [2 per cell]  2 Au 3.04
Cd: 0.5000 0.5000 0.0000 [1 per cell]  4 Ba 4.30, 8 Sr 4.38
Au: 0.0000 0.0000 0.5000 [1 per cell]  4 Sr 3.04, 2 Ba 3.15

Calculated values
DFT formation energy: -0.2964 eV per atom

(5)
Nd7Cd2Os2: relaxed, PBE.

a = 3.9693 Å, b = 15.8008 Å, c = 10.4371 Å
α = 90.00°, β = 90.00°, γ = 90.00°
Last column: nearest neighbours and their distance in Å.
Space group Imm2 (No. 44)
Asymmetric unit:
Nd: 0.0000 0.0000 0.0000 [2 per cell]  2 Os 3.37, 2 Cd 3.44
Nd: 0.0000 0.1481 0.5867 [4 per cell]  2 Os 3.01, 1 Cd 3.28
Nd: 0.0000 0.3111 0.3665 [4 per cell]  2 Os 2.86
Nd: 0.0000 0.3609 0.7296 [4 per cell]  2 Os 2.88
Cd: 0.0000 0.0000 0.3665 [2 per cell]  6 Nd 3.28-3.29
Cd: 0.0000 0.5000 0.2312 [2 per cell]  8 Nd 3.30-3.44
Os: 0.0000 0.2097 0.0613 [4 per cell]  6 Nd 2.86-3.01

Calculated values
DFT formation energy: -0.1047 eV per atom

(6)
MnFeBr2Cl: relaxed, PBE.

a = 4.8215 Å, b = 4.8215 Å, c = 5.4061 Å
α = 90.00°, β = 90.00°, γ = 90.00°
Last column: nearest neighbours and their distance in Å.
Space group P4/mmm (No. 123)
Asymmetric unit:
Mn: 0.0000 0.0000 0.0000 [1 per cell]  4 Br 2.41
Fe: 0.0000 0.0000 0.5000 [1 per cell]  2 Mn 2.70
Br: 0.0000 0.5000 0.0000 [2 per cell]  2 Mn 2.41
Cl: 0.5000 0.5000 0.5000 [1 per cell]  4 Fe 3.41, 8 Br 3.62

Calculated values
formation energy from raw total energies: 1.532 eV per formula unit

(7)
SiGeRh2: relaxed, PBE.

a = 2.9073 Å, b = 2.9073 Å, c = 6.6744 Å
α = 90.00°, β = 90.00°, γ = 90.00°
Last column: nearest neighbours and their distance in Å.
Space group P4/mmm (No. 123)
Asymmetric unit:
Si: 0.0000 0.0000 0.0000 [1 per cell]  8 Rh 2.51
Ge: 0.0000 0.0000 0.5000 [1 per cell]  8 Rh 2.80, 4 Ge 2.91
Rh: 0.5000 0.5000 0.2157 [2 per cell]  4 Si 2.51, 4 Ge 2.80

Calculated values
formation energy from raw total energies: -1.958 eV per formula unit

no.,density (g cm⁻³),total magnetization (μB per formula unit)
1,4.4,0.0
2,13.1,2.2
3,2.7,0.0
4,4.4,0.0
5,8.2,0.0
6,4.0,7.6
7,9.0,0.0